TiSiPt | PBE-GGA | relaxed

Summary:
Its density of states at the Fermi level is 0.41 states/eV/atom. The formation energy from raw total energies is -0.69 eV per atom. Its symmetry is I4mm, No. 107.

Unit cell a=2.8599 b=2.8599 c=5.7240 alpha=104.47 beta=104.47 gamma=90.00
Last column: nearest neighbours and their distance in Å.
Sites, in units of the cell vectors:
Si 0.2867 0.2867 0.5735  4 Pt 2.57, 4 Ti 2.64, 4 Si 2.86
Pt 0.9347 0.9347 0.8693  4 Si 2.57, 4 Pt 2.86
Ti 0.6286 0.6286 0.2572  4 Si 2.64, 4 Ti 2.86, 4 Pt 2.90